The following is a DFT calculation (PBE) of an optimized crystal structure of BaLaRh.

a b c (Å): 4.3007 4.3007 7.1395
angles (deg): 90.00 90.00 120.00
Last column: nearest neighbours and their distance in Å.
Fractional coordinates of all 3 atoms:
Ba  0.0000  0.0000  0.0000  3 Rh 3.20
La  0.6667  0.3333  0.5370  3 Rh 2.80
Rh  0.3333  0.6667  0.7179  3 La 2.80

Output
For the formation energy, the calculation gives -0.404 eV/atom. Its space-group type is No. 156. Its energy above the most stable polymorph in this dataset is 4.5 meV/atom. The magnetization comes out at 0.000 μB/f.u.